Th2AlGa4Ni3: optimized geometry, PBE-GGA.

abc: 4.1444 4.1444 10.3328
angles: 90.00 90.00 90.00
Element x y z (fractional)
Th1 0.0000 0.5000 0.7599
Th2 0.5000 0.0000 0.2401
Ga1 0.0000 0.5000 0.3586
Ga2 0.0000 0.0000 0.0000
Ga3 0.5000 0.0000 0.6414
Ga4 0.5000 0.5000 0.0000
Al1 0.5000 0.5000 0.5000
Ni1 0.5000 0.0000 0.8723
Ni2 0.0000 0.0000 0.5000
Ni3 0.0000 0.5000 0.1277

Summary:
Density: 8.9 Mg/m³
M_tot: 0.0 μB/f.u.
Calculated volume: 177.5 Å³ per cell
Energy: -53.93 eV/cell
Energy relative to the elements: -0.5895 eV per atom


TiAlGaNi: optimized geometry, PBE-GGA.

abc: 4.3175 4.3175 4.3175
angles: 60.00 60.00 60.00
Element x y z (fractional)
Ni1 0.0000 0.0000 0.0000
Al1 0.7500 0.7500 0.7500
Ga1 0.5000 0.5000 0.5000
Ti1 0.2500 0.2500 0.2500

Summary:
Density: 5.9 Mg/m³
M_tot: 0.0 μB/f.u.
Calculated volume: 56.9 Å³ per cell
Energy: -21.85 eV/cell
Energy relative to the elements: -0.3515 eV per atom


TmAl2GaNi4: optimized geometry, PBE-GGA.

abc: 4.0705 4.0705 8.3404
angles: 75.88 75.88 60.00
Element x y z (fractional)
Ni1 0.4022 0.4022 0.7934
Ni2 0.8686 0.8686 0.3943
Ni3 0.5978 0.5978 0.2066
Ni4 0.1314 0.1314 0.6057
Tm1 0.0000 0.0000 0.0000
Al1 0.2418 0.2418 0.2745
Al2 0.7582 0.7582 0.7255
Ga1 0.5000 0.5000 0.5000

Summary:
Density: 7.6 Mg/m³
M_tot: 0.0 μB/f.u.
Calculated volume: 114.8 Å³ per cell
Energy: -42.29 eV/cell
Energy relative to the elements: -0.5225 eV per atom


Tm2Al2GaNi5: optimized geometry, PBE-GGA.

abc: 3.1796 9.7536 9.7536
angles: 90.00 90.00 90.00
Element x y z (fractional)
Ni1 0.5000 0.5499 0.6987
Ni2 0.5000 0.5000 0.0000
Ni3 0.5000 0.0499 0.8013
Ni4 0.5000 0.0000 0.5000
Ni5 0.5000 0.4501 0.3013
Ni6 0.5000 0.9501 0.1987
Ni7 0.5000 0.8013 0.9501
Ni8 0.5000 0.6987 0.4501
Ni9 0.5000 0.1987 0.0499
Ni10 0.5000 0.3013 0.5499
Tm1 0.0000 0.8250 0.6750
Tm2 0.0000 0.1750 0.3250
Tm3 0.0000 0.6750 0.1750
Tm4 0.0000 0.3250 0.8250
Ga1 0.0000 0.5000 0.5000
Ga2 0.0000 0.0000 0.0000
Al1 0.0000 0.6247 0.8753
Al2 0.0000 0.1247 0.6247
Al3 0.0000 0.8753 0.3753
Al4 0.0000 0.3753 0.1247

Summary:
Density: 8.3 Mg/m³
M_tot: 0.0 μB/f.u.
Calculated volume: 302.5 Å³ per cell
Energy: -104.75 eV/cell
Energy relative to the elements: -0.4016 eV per atom


TmAlGa2Ni5: optimized geometry, PBE-GGA.

abc: 4.3036 4.3036 7.2061
angles: 90.00 90.00 90.00
Element x y z (fractional)
Ga1 0.5000 0.5000 0.1645
Ga2 0.5000 0.5000 0.8355
Al1 0.0000 0.0000 0.0000
Ni1 0.0000 0.5000 0.2637
Ni2 0.5000 0.0000 0.2637
Ni3 0.5000 0.5000 0.5000
Ni4 0.5000 0.0000 0.7363
Ni5 0.0000 0.5000 0.7363
Tm1 0.0000 0.0000 0.5000

Summary:
Density: 7.8 Mg/m³
M_tot: 0.0 μB/f.u.
Calculated volume: 133.5 Å³ per cell
Energy: -44.26 eV/cell
Energy relative to the elements: -0.1211 eV per atom


TmAlGa2Ni2: optimized geometry, PBE-GGA.

abc: 4.3205 4.3205 5.5027
angles: 90.00 90.00 90.00
Element x y z (fractional)
Ga1 0.5000 0.5000 0.7405
Ga2 0.5000 0.5000 0.2595
Al1 0.0000 0.0000 0.0000
Ni1 0.0000 0.5000 0.0000
Ni2 0.5000 0.0000 0.0000
Tm1 0.0000 0.0000 0.5000

Summary:
Density: 7.3 Mg/m³
M_tot: 0.0 μB/f.u.
Calculated volume: 102.7 Å³ per cell
Energy: -27.17 eV/cell
Energy relative to the elements: -0.2229 eV per atom


Tm2AlGaNi6: optimized geometry, PBE-GGA.

abc: 7.9911 5.1594 5.1636
angles: 59.99 71.10 90.11
Element x y z (fractional)
Ni1 0.2511 0.2489 0.4991
Ni2 0.2507 0.7482 0.0005
Ni3 0.7489 0.7511 0.5009
Ni4 0.2515 0.2487 0.0000
Ni5 0.7493 0.2518 0.9995
Ni6 0.7485 0.7513 0.0000
Tm1 0.3808 0.7927 0.4131
Tm2 0.6192 0.2073 0.5869
Al1 0.5000 0.5000 0.0000
Ga1 0.0000 0.0000 0.0000

Summary:
Density: 7.6 Mg/m³
M_tot: 0.0 μB/f.u.
Calculated volume: 170.9 Å³ per cell
Energy: -52.85 eV/cell
Energy relative to the elements: -0.2447 eV per atom


Tm2AlGa4Ni3: optimized geometry, PBE-GGA.

abc: 3.9521 3.9521 10.6379
angles: 90.00 90.00 90.00
Element x y z (fractional)
Ga1 0.0000 0.0000 0.0000
Ga2 0.5000 0.5000 0.0000
Ga3 0.0000 0.5000 0.3533
Ga4 0.5000 0.0000 0.6467
Tm1 0.5000 0.0000 0.2392
Tm2 0.0000 0.5000 0.7608
Ni1 0.0000 0.0000 0.5000
Ni2 0.5000 0.0000 0.8661
Ni3 0.0000 0.5000 0.1339
Al1 0.5000 0.5000 0.5000

Summary:
Density: 8.2 Mg/m³
M_tot: 0.0 μB/f.u.
Calculated volume: 166.2 Å³ per cell
Energy: -47.79 eV/cell
Energy relative to the elements: -0.5657 eV per atom


Y2AlGa4Ni3: optimized geometry, PBE-GGA.

abc: 4.0396 4.0396 10.4145
angles: 90.00 90.00 90.00
Element x y z (fractional)
Y1 0.0000 0.5000 0.7606
Y2 0.5000 0.0000 0.2394
Ni1 0.5000 0.0000 0.8719
Ni2 0.0000 0.5000 0.1281
Ni3 0.0000 0.0000 0.5000
Ga1 0.0000 0.5000 0.3532
Ga2 0.5000 0.0000 0.6468
Ga3 0.0000 0.0000 0.0000
Ga4 0.5000 0.5000 0.0000
Al1 0.5000 0.5000 0.5000

Summary:
Density: 6.4 Mg/m³
M_tot: 0.0 μB/f.u.
Calculated volume: 170.0 Å³ per cell
Energy: -51.99 eV/cell
Energy relative to the elements: -0.5863 eV per atom


Y2AlGa3Ni4: optimized geometry, PBE-GGA.

abc: 3.9466 3.9466 10.5213
angles: 90.00 90.00 90.00
Element x y z (fractional)
Ni1 0.0000 0.0000 0.0000
Ni2 0.5000 0.5000 0.0000
Ni3 0.5000 0.0000 0.6385
Ni4 0.0000 0.5000 0.3615
Ga1 0.5000 0.0000 0.8685
Ga2 0.0000 0.5000 0.1315
Ga3 0.0000 0.0000 0.5000
Al1 0.5000 0.5000 0.5000
Y1 0.0000 0.5000 0.7468
Y2 0.5000 0.0000 0.2532

Summary:
Density: 6.6 Mg/m³
M_tot: 0.0 μB/f.u.
Calculated volume: 163.9 Å³ per cell
Energy: -54.80 eV/cell
Energy relative to the elements: -0.5923 eV per atom


YAlGaNi2: optimized geometry, PBE-GGA.

abc: 4.2216 6.6451 6.3362
angles: 90.00 90.00 108.52
Element x y z (fractional)
Al1 0.6731 0.3462 0.7500
Al2 0.3269 0.6538 0.2500
Ni1 0.8115 0.6230 0.4635
Ni2 0.8115 0.6230 0.0365
Ni3 0.1885 0.3770 0.9635
Ni4 0.1885 0.3770 0.5365
Ga1 0.0000 0.0000 0.0000
Ga2 0.0000 0.0000 0.5000
Y1 0.6208 0.2417 0.2500
Y2 0.3792 0.7583 0.7500

Summary:
Density: 6.0 Mg/m³
M_tot: 0.0 μB/f.u.
Calculated volume: 168.5 Å³ per cell
Energy: -54.54 eV/cell
Energy relative to the elements: -0.4949 eV per atom


YAlGa2Ni2: optimized geometry, PBE-GGA.

abc: 4.3316 4.3316 5.5562
angles: 90.00 90.00 90.00
Element x y z (fractional)
Ni1 0.0000 0.5000 0.0000
Ni2 0.5000 0.0000 0.0000
Al1 0.0000 0.0000 0.0000
Ga1 0.5000 0.5000 0.7426
Ga2 0.5000 0.5000 0.2574
Y1 0.0000 0.0000 0.5000

Summary:
Density: 5.9 Mg/m³
M_tot: 0.0 μB/f.u.
Calculated volume: 104.2 Å³ per cell
Energy: -29.42 eV/cell
Energy relative to the elements: -0.2667 eV per atom


YAlGa2Ni5: optimized geometry, PBE-GGA.

abc: 4.4194 4.4194 6.9740
angles: 90.00 90.00 90.00
Element x y z (fractional)
Ni1 0.0000 0.5000 0.7715
Ni2 0.5000 0.5000 0.5000
Ni3 0.5000 0.0000 0.7715
Ni4 0.0000 0.5000 0.2285
Ni5 0.5000 0.0000 0.2285
Ga1 0.5000 0.5000 0.1705
Ga2 0.5000 0.5000 0.8295
Y1 0.0000 0.0000 0.5000
Al1 0.0000 0.0000 0.0000

Summary:
Density: 6.7 Mg/m³
M_tot: 0.0 μB/f.u.
Calculated volume: 136.2 Å³ per cell
Energy: -46.09 eV/cell
Energy relative to the elements: -0.1023 eV per atom


Y2Al2GaNi5: optimized geometry, PBE-GGA.

abc: 3.0083 10.1043 10.1043
angles: 90.00 90.00 90.00
Element x y z (fractional)
Ni1 0.5000 0.4473 0.3079
Ni2 0.5000 0.0527 0.8079
Ni3 0.5000 0.5000 0.0000
Ni4 0.5000 0.5527 0.6921
Ni5 0.5000 0.6921 0.4473
Ni6 0.5000 0.3079 0.5527
Ni7 0.5000 0.0000 0.5000
Ni8 0.5000 0.1921 0.0527
Ni9 0.5000 0.8079 0.9473
Ni10 0.5000 0.9473 0.1921
Y1 0.0000 0.3265 0.8265
Y2 0.0000 0.1735 0.3265
Y3 0.0000 0.8265 0.6735
Y4 0.0000 0.6735 0.1735
Ga1 0.0000 0.0000 0.0000
Ga2 0.0000 0.5000 0.5000
Al1 0.0000 0.6280 0.8720
Al2 0.0000 0.3720 0.1280
Al3 0.0000 0.1280 0.6280
Al4 0.0000 0.8720 0.3720

Summary:
Density: 6.4 Mg/m³
M_tot: 0.0 μB/f.u.
Calculated volume: 307.1 Å³ per cell
Energy: -112.05 eV/cell
Energy relative to the elements: -0.3676 eV per atom


Y2AlGa2Ni5: optimized geometry, PBE-GGA.

abc: 3.2885 9.7044 9.7044
angles: 90.00 90.00 90.00
Element x y z (fractional)
Ni1 0.5000 0.0527 0.8015
Ni2 0.5000 0.5000 0.0000
Ni3 0.5000 0.0000 0.5000
Ni4 0.5000 0.3015 0.5527
Ni5 0.5000 0.9473 0.1985
Ni6 0.5000 0.4473 0.3015
Ni7 0.5000 0.1985 0.0527
Ni8 0.5000 0.8015 0.9473
Ni9 0.5000 0.6985 0.4473
Ni10 0.5000 0.5527 0.6985
Y1 0.0000 0.8241 0.6759
Y2 0.0000 0.1759 0.3241
Y3 0.0000 0.6759 0.1759
Y4 0.0000 0.3241 0.8241
Ga1 0.0000 0.8760 0.3760
Ga2 0.0000 0.6240 0.8760
Ga3 0.0000 0.3760 0.1240
Ga4 0.0000 0.1240 0.6240
Al1 0.0000 0.0000 0.0000
Al2 0.0000 0.5000 0.5000

Summary:
Density: 6.8 Mg/m³
M_tot: 0.0 μB/f.u.
Calculated volume: 309.7 Å³ per cell
Energy: -111.27 eV/cell
Energy relative to the elements: -0.4006 eV per atom


Al2Zn2GaNi5: optimized geometry, PBE-GGA.

abc: 3.5419 8.5716 8.5716
angles: 90.00 90.00 90.00
Element x y z (fractional)
Al1 0.0000 0.8729 0.3729
Al2 0.0000 0.3729 0.1271
Al3 0.0000 0.1271 0.6271
Al4 0.0000 0.6271 0.8729
Ni1 0.5000 0.1906 0.0866
Ni2 0.5000 0.5866 0.6906
Ni3 0.5000 0.8094 0.9134
Ni4 0.5000 0.9134 0.1906
Ni5 0.5000 0.6906 0.4134
Ni6 0.5000 0.4134 0.3094
Ni7 0.5000 0.0866 0.8094
Ni8 0.5000 0.3094 0.5866
Ni9 0.5000 0.0000 0.5000
Ni10 0.5000 0.5000 0.0000
Ga1 0.0000 0.5000 0.5000
Ga2 0.0000 0.0000 0.0000
Zn1 0.0000 0.1697 0.3303
Zn2 0.0000 0.8303 0.6697
Zn3 0.0000 0.3303 0.8303
Zn4 0.0000 0.6697 0.1697

Summary:
Density: 7.0 Mg/m³
M_tot: 0.0 μB/f.u.
Calculated volume: 260.2 Å³ per cell
Energy: -88.21 eV/cell
Energy relative to the elements: -0.2137 eV per atom


AlZn2Ga2Ni5: optimized geometry, PBE-GGA.

abc: 3.6012 8.5273 8.5273
angles: 90.00 90.00 90.00
Element x y z (fractional)
Ni1 0.5000 0.0000 0.5000
Ni2 0.5000 0.9151 0.1895
Ni3 0.5000 0.4151 0.3105
Ni4 0.5000 0.5000 0.0000
Ni5 0.5000 0.1895 0.0849
Ni6 0.5000 0.6895 0.4151
Ni7 0.5000 0.5849 0.6895
Ni8 0.5000 0.3105 0.5849
Ni9 0.5000 0.8105 0.9151
Ni10 0.5000 0.0849 0.8105
Al1 0.0000 0.5000 0.5000
Al2 0.0000 0.0000 0.0000
Zn1 0.0000 0.3307 0.8307
Zn2 0.0000 0.6693 0.1693
Zn3 0.0000 0.1693 0.3307
Zn4 0.0000 0.8307 0.6693
Ga1 0.0000 0.1285 0.6285
Ga2 0.0000 0.8715 0.3715
Ga3 0.0000 0.6285 0.8715
Ga4 0.0000 0.3715 0.1285

Summary:
Density: 7.5 Mg/m³
M_tot: 0.0 μB/f.u.
Calculated volume: 261.9 Å³ per cell
Energy: -86.32 eV/cell
Energy relative to the elements: -0.1908 eV per atom


ZrAlGa2Ni: optimized geometry, PBE-GGA.

abc: 4.6975 4.2696 4.6975
angles: 90.00 90.00 90.00
Element x y z (fractional)
Ga1 0.5000 0.0000 0.0000
Ga2 0.0000 0.0000 0.5000
Ni1 0.0000 0.5000 0.0000
Al1 0.0000 0.0000 0.0000
Zr1 0.5000 0.5000 0.5000

Summary:
Density: 5.6 Mg/m³
M_tot: 0.0 μB/f.u.
Calculated volume: 94.2 Å³ per cell
Energy: -22.30 eV/cell
Energy relative to the elements: 0.3648 eV per atom


ZrAlGa2Ni4: optimized geometry, PBE-GGA.

abc: 4.0968 4.0968 7.8321
angles: 74.84 74.84 60.00
Element x y z (fractional)
Ni1 0.1292 0.1292 0.6124
Ni2 0.3947 0.3947 0.8158
Ni3 0.8708 0.8708 0.3876
Ni4 0.6053 0.6053 0.1842
Ga1 0.7515 0.7515 0.7454
Ga2 0.2485 0.2485 0.2546
Zr1 0.0000 0.0000 0.0000
Al1 0.5000 0.5000 0.5000

Summary:
Density: 7.5 Mg/m³
M_tot: 0.0 μB/f.u.
Calculated volume: 108.5 Å³ per cell
Energy: -45.41 eV/cell
Energy relative to the elements: -0.4926 eV per atom


NpAlGa4: optimized geometry, PBE-GGA.

abc: 5.4604 5.4604 5.4604
angles: 60.00 60.00 60.00
Site moments in Bohr magnetons follow the coordinates.
Element x y z (fractional)
Ga1 0.6250 0.1249 0.6250  0.04
Ga2 0.6250 0.6250 0.6250  0.04
Ga3 0.6250 0.6250 0.1249  0.04
Ga4 0.1249 0.6250 0.6250  0.04
Al1 0.0000 0.0000 0.0000  -0.01
Np1 0.2500 0.2500 0.2500  4.07

Summary:
Density: 7.8 Mg/m³
Relative energy among the computed polymorphs: 75.6 kJ/mol of formula units
M_tot: 4.8 μB/f.u.
Calculated volume: 115.1 Å³ per cell
Energy: -28.38 eV/cell
Energy relative to the elements: 0.0693 eV per atom